# 1
La4CdRh | SCAN | single point on PBEsol structure

Calculated values
The total energy comes out at -38.980 eV per atom. For the density of states at the Fermi level, the calculation gives 1.690 states/eV/atom.

a = 6.161 Å, b = 6.161 Å, c = 6.161 Å
α = 60.00°, β = 60.00°, γ = 60.00°
Sites, in units of the cell vectors:
1 La 0.124 0.124 0.124
2 La 0.124 0.124 0.628
3 La 0.124 0.628 0.124
4 La 0.628 0.124 0.124
5 Cd 0.500 0.500 0.500
6 Rh 0.750 0.750 0.750

***

# 2
FePPdO2 | SCAN | single point on PBEsol structure

Calculated values
The uncorrected formation energy is 1.518 eV per formula unit. For the density of states at the Fermi level, the calculation gives 0.668 states/eV/atom.

a = 3.766 Å, b = 3.766 Å, c = 4.875 Å
α = 90.00°, β = 90.00°, γ = 90.00°
Sites, in units of the cell vectors:
1 Fe 0.000 0.000 0.000
2 P 0.500 0.500 0.000
3 Pd 0.500 0.500 0.500
4 O 0.000 0.500 0.500
5 O 0.500 0.000 0.500

***

# 3
ReH8I6N2 | SCAN | single point on PBEsol structure

Calculated values
The total energy comes out at -20.193 eV per atom.

a = 7.654 Å, b = 7.654 Å, c = 11.855 Å
α = 90.00°, β = 90.00°, γ = 90.00°
Sites, in units of the cell vectors:
1 Re 0.000 0.000 0.000
2 Re 0.500 0.500 0.500
3 H 0.002 0.390 0.199
4 H 0.002 0.390 0.801
5 H 0.110 0.498 0.301
6 H 0.110 0.498 0.699
7 H 0.390 0.998 0.199
8 H 0.390 0.998 0.801
9 H 0.498 0.890 0.301
10 H 0.498 0.890 0.699
11 H 0.502 0.110 0.301
12 H 0.502 0.110 0.699
13 H 0.610 0.002 0.199
14 H 0.610 0.002 0.801
15 H 0.890 0.502 0.301
16 H 0.890 0.502 0.699
17 H 0.998 0.610 0.199
18 H 0.998 0.610 0.801
19 I 0.000 0.000 0.230
20 I 0.000 0.000 0.770
21 I 0.193 0.297 0.000
22 I 0.203 0.307 0.500
23 I 0.297 0.807 0.000
24 I 0.307 0.797 0.500
25 I 0.500 0.500 0.270
26 I 0.500 0.500 0.730
27 I 0.693 0.203 0.500
28 I 0.703 0.193 0.000
29 I 0.797 0.693 0.500
30 I 0.807 0.703 0.000
31 N 0.000 0.500 0.250
32 N 0.000 0.500 0.750
33 N 0.500 0.000 0.250
34 N 0.500 0.000 0.750

***

| no. | total moment (μB per atom) |
| --- | --- |
| 1 | 0.000 |
| 2 | 0.977 |
| 3 | 0.176 |